# 1
Entry from the Alexandria database: a relaxed structure of K3CaCu (PBE).

Structure (POSCAR):
```
K3CaCu
1.0
7.4854 0.0000 0.0000
0.0000 7.4854 0.0000
0.0000 0.0000 7.4854
K Ca Cu
3 1 1
Direct
0.0000 0.0000 0.5000
0.0000 0.5000 0.0000
0.5000 0.0000 0.0000
0.0000 0.0000 0.0000
0.5000 0.5000 0.5000
```

Output
Formation energy, kJ/mol of formula units: 417
Fermi-level density of states, states/eV per atom: 1.4825
Magnetization, μB/f.u.: 0.00
SG: Pm-3m, No. 221
Distance to the lowest polymorph of the same formula, meV per atom: 506.7



# 2
Entry from the Alexandria database: a relaxed structure of K2CaCu (PBE).

Structure (POSCAR):
```
K2CaCu
1.0
-2.4733 2.4733 6.3483
2.4733 -2.4733 6.3483
2.4733 2.4733 -6.3483
K Ca Cu
2 1 1
Direct
0.2500 0.7500 0.5000
0.7500 0.2500 0.5000
0.0000 0.0000 0.0000
0.5000 0.5000 0.0000
```

Output
Formation energy, kJ/mol of formula units: 149
Fermi-level density of states, states/eV per atom: 0.6060
Magnetization, μB/f.u.: 0.00
SG: I4/mmm, No. 139
Distance to the lowest polymorph of the same formula, meV per atom: 243.9



# 3
Entry from the Alexandria database: a relaxed structure of K2CaCu (PBE).

Structure (POSCAR):
```
K2CaCu
1.0
0.0000 4.3701 4.3701
4.3701 0.0000 4.3701
4.3701 4.3701 0.0000
K Ca Cu
2 1 1
Direct
0.2500 0.2500 0.2500
0.7500 0.7500 0.7500
0.0000 0.0000 0.0000
0.5000 0.5000 0.5000
```

Output
Formation energy, kJ/mol of formula units: 194
Fermi-level density of states, states/eV per atom: 0.6994
Magnetization, μB/f.u.: 0.00
SG: Fm-3m, No. 225
Distance to the lowest polymorph of the same formula, meV per atom: 360.6



- Fermi-level density of states of number 3 (K2CaCu)?
  0.6994 states/eV per atom



- Among the records above, which one has the lowest formation energy?
  number 2



- The highest formation energy belongs to which entry?
  K3CaCu